No. 1
Crystalline YMg2Br at its relaxed geometry, computed with GGA-PBE.

Cell lengths 3.474, 5.119, 11.429 Å; angles 90.00, 90.00, 90.00 degrees
Space group Immm (No. 71)
Asymmetric unit:
Y1 0.000 0.000 0.000 [2 per cell]
Mg1 0.000 0.500 0.246 [4 per cell]
Br1 0.000 0.000 0.500 [2 per cell]

The total magnetization comes out at 0.0 μB per formula unit. The energy above the most stable polymorph in this dataset is 86 meV/atom. Its theoretical density is 3.55 g/cm³. The crystal system is orthorhombic. The raw formation energy is -1.38 eV/f.u.



No. 2
Crystalline NaBiOF2 at its relaxed geometry, computed with GGA-PBE.

Cell lengths 3.903, 3.903, 4.403 Å; angles 90.00, 90.00, 90.00 degrees
Space group P4/mmm (No. 123)
Asymmetric unit:
Na1 0.000 0.000 0.000 [1 per cell]
Bi1 0.500 0.500 0.500 [1 per cell]
O1 0.000 0.000 0.500 [1 per cell]
F1 0.000 0.500 0.000 [2 per cell]

The total magnetization comes out at 0.0 μB per formula unit. The energy above the most stable polymorph in this dataset is 377 meV/atom. Its theoretical density is 7.08 g/cm³. The crystal system is tetragonal. The raw formation energy is -7.39 eV/f.u.



Q: Which total DFT energy (no corrections) values were calculated for the entries above? A: -3.18; -4.26, in eV per atom.